Record 1
{
  "formula": "BaZr2Cl",
  "functional": "GGA-PBE",
  "state": "relaxed",
  "spacegroup": "P2/m",
  "e_above_lowest_polymorph_kj_per_mol_atoms": 17.3,
  "cell": [[3.5812, 0.0000, 0.0000], [0.0000, 7.2244, 0.0000], [-0.0148, 0.0000, 4.8066]],
  "species": ["Ba", "Zr", "Zr", "Cl"],
  "fractional_positions": [[0.0000, 0.0000, 0.0000], [0.2589, 0.5000, 0.2379], [0.7411, 0.5000, 0.7621], [0.5000, 0.0000, 0.5000]]
}


Record 2
{
  "formula": "Sm6Dy2Tm3Th",
  "functional": "GGA-PBE",
  "state": "relaxed",
  "spacegroup": "C2/m",
  "formation_energy_ev_per_atom": 0.033,
  "cell": [[3.0997, -5.3648, 0.0000], [3.0997, 5.3648, 0.0000], [-2.0681, 0.0000, 11.6584]],
  "species": ["Sm", "Sm", "Sm", "Sm", "Sm", "Sm", "Dy", "Dy", "Tm", "Tm", "Tm", "Th"],
  "fractional_positions": [[0.0841, 0.4145, 0.7510], [0.2459, 0.2459, 0.2492], [0.4145, 0.0841, 0.7510], [0.5855, 0.9159, 0.2490], [0.7541, 0.7541, 0.7508], [0.9159, 0.5855, 0.2490], [0.3333, 0.6667, 0.5000], [0.6667, 0.3333, 0.5000], [0.1670, 0.8330, 0.0000], [0.5000, 0.5000, 0.0000], [0.8330, 0.1670, 0.0000], [0.0000, 0.0000, 0.5000]]
}


| no. | DOS at the Fermi energy (states/eV/f.u.) | magnetic moment (μB per formula unit) |
| --- | --- | --- |
| 1 | 4.6 | 0.00 |
| 2 | 15.9 | 0.00 |